Entry 1:
Crystalline SiAgRh2 at its relaxed geometry. Source: Alexandria, functional GGA-PBE.

a b c (Å): 2.8225 2.8225 26.0143
angles (deg): 90.00 90.00 120.00
Space group R3m (No. 160, hexagonal axes)
Asymmetric unit:
Si (0.0000, 0.0000, 0.0000) (multiplicity 3)
Ag (0.0000, 0.0000, 0.7528) (multiplicity 3)
Rh (0.0000, 0.0000, 0.2645) (multiplicity 3)
Rh (0.0000, 0.0000, 0.5109) (multiplicity 3)

## Properties
Spin magnetization = 0.88 μB/f.u.
Energy relative to the elements, uncorrected = -0.009 eV per atom
Fermi-level density of states = 0.585 states/eV/atom


Entry 2:
Crystalline SiAgRh3 at its relaxed geometry. Source: Alexandria, functional GGA-PBE.

a b c (Å): 4.423 4.423 4.423
angles (deg): 90.00 90.00 90.00
Space group Pm-3m (No. 221)
Asymmetric unit:
Si (0.000, 0.000, 0.000) (multiplicity 1)
Ag (0.500, 0.500, 0.500) (multiplicity 1)
Rh (0.000, 0.000, 0.500) (multiplicity 3)

## Properties
Spin magnetization = 1.21 μB/f.u.
Energy relative to the elements, uncorrected = 0.274 eV per atom
Polymorph energy (0 for the lowest one) = 0.000 eV/atom
Fermi-level density of states = 1.358 states/eV/atom


Entry 3:
Crystalline SiAgRh2 at its relaxed geometry. Source: Alexandria, functional GGA-PBE.

a b c (Å): 4.395 4.395 2.994
angles (deg): 90.00 90.00 90.00
Space group P4/mmm (No. 123)
Asymmetric unit:
Si (0.000, 0.000, 0.000) (multiplicity 1)
Ag (0.500, 0.500, 0.000) (multiplicity 1)
Rh (0.000, 0.500, 0.500) (multiplicity 2)

## Properties
Spin magnetization = 0.00 μB/f.u.
Energy relative to the elements, uncorrected = -0.147 eV per atom
Fermi-level density of states = 0.786 states/eV/atom


Entry 4:
Crystalline SiAgRh2 at its relaxed geometry. Source: Alexandria, functional GGA-PBE.

a b c (Å): 2.779 3.747 5.928
angles (deg): 90.00 90.00 90.00
Space group Pmm2 (No. 25)
Asymmetric unit:
Si (0.000, 0.000, 0.000) (multiplicity 1)
Ag (0.500, 0.500, 0.343) (multiplicity 1)
Rh (0.000, 0.000, 0.602) (multiplicity 1)
Rh (0.500, 0.500, 0.874) (multiplicity 1)

## Properties
Spin magnetization = 0.00 μB/f.u.
Energy relative to the elements, uncorrected = -0.056 eV per atom
Fermi-level density of states = 0.746 states/eV/atom


- Number 2 is which compound?
  SiAgRh3


- Look up the energy relative to the elements, uncorrected of the fourth one.
  -0.056 eV per atom


Copy entry 3 word for word.
Crystalline SiAgRh2 at its relaxed geometry. Source: Alexandria, functional GGA-PBE.

a b c (Å): 4.395 4.395 2.994
angles (deg): 90.00 90.00 90.00
Space group P4/mmm (No. 123)
Asymmetric unit:
Si (0.000, 0.000, 0.000) (multiplicity 1)
Ag (0.500, 0.500, 0.000) (multiplicity 1)
Rh (0.000, 0.500, 0.500) (multiplicity 2)

## Properties
Spin magnetization = 0.00 μB/f.u.
Energy relative to the elements, uncorrected = -0.147 eV per atom
Fermi-level density of states = 0.786 states/eV/atom


Copy entry 2 word for word.
Crystalline SiAgRh3 at its relaxed geometry. Source: Alexandria, functional GGA-PBE.

a b c (Å): 4.423 4.423 4.423
angles (deg): 90.00 90.00 90.00
Space group Pm-3m (No. 221)
Asymmetric unit:
Si (0.000, 0.000, 0.000) (multiplicity 1)
Ag (0.500, 0.500, 0.500) (multiplicity 1)
Rh (0.000, 0.000, 0.500) (multiplicity 3)

## Properties
Spin magnetization = 1.21 μB/f.u.
Energy relative to the elements, uncorrected = 0.274 eV per atom
Polymorph energy (0 for the lowest one) = 0.000 eV/atom
Fermi-level density of states = 1.358 states/eV/atom